Li6SnAu PBE relaxed; relative energy among the computed polymorphs = 0.0000 eV/atom; crystal system = trigonal; total magnetization = 0.00 μB/cell; symmetry = No. 166
1.0
2.294 1.324 7.360
-2.294 1.324 7.360
0.000 -2.649 7.360
Li Sn Au
6 1 1
Cartesian
0.000 0.000 2.677
0.000 0.000 5.360
0.000 0.000 8.201
0.000 0.000 13.880
0.000 0.000 16.722
0.000 0.000 19.404
0.000 0.000 11.041
0.000 0.000 0.000

YNiPt2 PBE relaxed; crystal system = tetragonal; total magnetization = 0.00 μB/cell; final energy = -6.4835 eV per atom; symmetry = No. 122
1.0
-1.995 1.995 9.250
1.995 -1.995 9.250
1.995 1.995 -9.250
Y Ni Pt
2 2 4
Cartesian
0.000 0.000 0.000
0.000 1.995 4.625
1.995 0.000 4.625
0.000 0.000 9.250
0.997 -0.877 6.938
1.117 0.997 2.313
0.997 2.872 -2.313
0.877 0.997 11.563

YAg2Mo PBE relaxed; relative energy among the computed polymorphs = 0.0572 eV/atom; crystal system = orthorhombic; total magnetization = 0.00 μB/cell; symmetry = No. 47
1.0
3.042 0.000 0.000
0.000 4.286 0.000
0.000 0.000 6.001
Y Ag Mo
1 2 1
Cartesian
0.000 0.000 0.000
1.521 2.143 1.625
1.521 2.143 4.376
0.000 0.000 3.000

Pr7Tm3Mg PBE relaxed; crystal system = monoclinic; total magnetization = 0.00 μB/cell; final energy = -4.1792 eV per atom; symmetry = No. 12
1.0
5.797 -5.213 0.000
5.797 5.213 0.000
-0.448 0.000 6.464
Pr Tm Mg
7 3 1
Cartesian
0.000 0.000 0.000
2.672 1.772 1.679
2.653 0.000 5.071
2.672 -1.772 1.679
8.473 1.772 4.785
8.492 0.000 1.392
8.473 -1.772 4.785
5.797 1.688 0.000
5.573 0.000 3.232
5.797 -1.688 0.000
-0.224 0.000 3.232

InSe2N2 PBE relaxed; relative energy among the computed polymorphs = 1.5513 eV/atom; crystal system = tetragonal; E_form (uncorrected) = 1432 meV per atom; total magnetization = 1.42 μB/cell; symmetry = No. 123
1.0
4.396 0.000 0.000
0.000 4.396 0.000
0.000 0.000 4.105
In Se N
1 2 2
Cartesian
0.000 0.000 0.000
0.000 2.198 2.053
2.198 0.000 2.053
2.198 2.198 0.000
2.198 2.198 2.053

Sm3PaSb4 PBE relaxed; crystal system = tetragonal; E_form (uncorrected) = -996 meV per atom; total magnetization = 0.55 μB/cell; symmetry = No. 139
1.0
-3.138 3.138 6.277
3.138 -3.138 6.277
3.138 3.138 -6.277
Sm Pa Sb
3 1 4
Cartesian
0.000 0.000 0.000
3.138 0.000 3.139
0.000 3.138 3.139
0.000 0.000 6.277
3.138 0.000 0.000
0.000 0.000 3.203
0.000 3.138 0.000
0.000 0.000 9.352

Repeat the fourth record exactly.
Pr7Tm3Mg PBE relaxed; crystal system = monoclinic; total magnetization = 0.00 μB/cell; final energy = -4.1792 eV per atom; symmetry = No. 12
1.0
5.797 -5.213 0.000
5.797 5.213 0.000
-0.448 0.000 6.464
Pr Tm Mg
7 3 1
Cartesian
0.000 0.000 0.000
2.672 1.772 1.679
2.653 0.000 5.071
2.672 -1.772 1.679
8.473 1.772 4.785
8.492 0.000 1.392
8.473 -1.772 4.785
5.797 1.688 0.000
5.573 0.000 3.232
5.797 -1.688 0.000
-0.224 0.000 3.232

Question: Which value of total magnetization does entry 5 give?
Answer: 1.42 μB/cell